*A*
Computed, not measured: TaBe3Ru after structural relaxation at the GGA-PBE level of DFT.

Calculated values
Crystal system: cubic

```
data_TaBe3Ru
_chemical_formula_sum 'Ta1 Be3 Ru1'
_cell_length_a 4.295
_cell_length_b 4.295
_cell_length_c 4.295
_cell_angle_alpha 90.00
_cell_angle_beta 90.00
_cell_angle_gamma 90.00
_space_group_name_H-M_alt 'P m -3 m'
_space_group_IT_number 221
_space_group_name_Hall '-P 4 2 3'
loop_
_atom_site_label
_atom_site_fract_x
_atom_site_fract_y
_atom_site_fract_z
Ta1 0.000 0.000 0.000
Be1 0.000 0.000 0.500
Ru1 0.500 0.500 0.500
```



*B*
Computed, not measured: TaBe3Ru after structural relaxation at the GGA-PBE level of DFT.

Calculated values
Crystal system: cubic

```
data_TaBe3Ru
_chemical_formula_sum 'Ta1 Be3 Ru1'
_cell_length_a 4.015
_cell_length_b 4.015
_cell_length_c 4.015
_cell_angle_alpha 90.00
_cell_angle_beta 90.00
_cell_angle_gamma 90.00
_space_group_name_H-M_alt 'P m -3 m'
_space_group_IT_number 221
_space_group_name_Hall '-P 4 2 3'
loop_
_atom_site_label
_atom_site_fract_x
_atom_site_fract_y
_atom_site_fract_z
Ta1 0.000 0.000 0.000
Be1 0.000 0.500 0.500
Ru1 0.500 0.500 0.500
```



Most favorable structure: *B*. The second most favorable one is 133.4 kJ/mol of atoms above it.



*A*
Computed, not measured: TaBeRu3 after structural relaxation at the GGA-PBE level of DFT.

Calculated values
Crystal system: cubic

```
data_TaBeRu3
_chemical_formula_sum 'Ta1 Be1 Ru3'
_cell_length_a 4.699
_cell_length_b 4.699
_cell_length_c 4.699
_cell_angle_alpha 90.00
_cell_angle_beta 90.00
_cell_angle_gamma 90.00
_space_group_name_H-M_alt 'P m -3 m'
_space_group_IT_number 221
_space_group_name_Hall '-P 4 2 3'
loop_
_atom_site_label
_atom_site_fract_x
_atom_site_fract_y
_atom_site_fract_z
Ta1 0.000 0.000 0.000
Be1 0.500 0.500 0.500
Ru1 0.000 0.000 0.500
```



*B*
Computed, not measured: TaBeRu3 after structural relaxation at the GGA-PBE level of DFT.

Calculated values
Crystal system: cubic

```
data_TaBeRu3
_chemical_formula_sum 'Ta1 Be1 Ru3'
_cell_length_a 4.104
_cell_length_b 4.104
_cell_length_c 4.104
_cell_angle_alpha 90.00
_cell_angle_beta 90.00
_cell_angle_gamma 90.00
_space_group_name_H-M_alt 'P m -3 m'
_space_group_IT_number 221
_space_group_name_Hall '-P 4 2 3'
loop_
_atom_site_label
_atom_site_fract_x
_atom_site_fract_y
_atom_site_fract_z
Ta1 0.000 0.000 0.000
Be1 0.500 0.500 0.500
Ru1 0.000 0.500 0.500
```



Most favorable structure: *B*. The second most favorable one is 171.3 kJ/mol of atoms above it.



*A*
Computed, not measured: TbBe2Ru after structural relaxation at the GGA-PBE level of DFT.

Calculated values
Crystal system: trigonal

```
data_TbBe2Ru
_chemical_formula_sum 'Tb3 Be6 Ru3'
_cell_length_a 3.8800
_cell_length_b 3.8800
_cell_length_c 14.4822
_cell_angle_alpha 90.00
_cell_angle_beta 90.00
_cell_angle_gamma 120.00
_space_group_name_H-M_alt 'R -3 m'
_space_group_IT_number 166
_space_group_name_Hall '-R 3 2"'
loop_
_atom_site_label
_atom_site_fract_x
_atom_site_fract_y
_atom_site_fract_z
Tb1 0.0000 0.0000 0.0000
Be1 0.0000 0.0000 0.1946
Ru1 0.0000 0.0000 0.5000
```



*B*
Computed, not measured: TbBe2Ru after structural relaxation at the GGA-PBE level of DFT.

Calculated values
Crystal system: tetragonal

```
data_TbBe2Ru
_chemical_formula_sum 'Tb1 Be2 Ru1'
_cell_length_a 3.094
_cell_length_b 3.094
_cell_length_c 6.011
_cell_angle_alpha 90.00
_cell_angle_beta 90.00
_cell_angle_gamma 90.00
_space_group_name_H-M_alt 'P 4/m m m'
_space_group_IT_number 123
_space_group_name_Hall '-P 4 2'
loop_
_atom_site_label
_atom_site_fract_x
_atom_site_fract_y
_atom_site_fract_z
Tb1 0.000 0.000 0.000
Be1 0.500 0.500 0.329
Ru1 0.000 0.000 0.500
```



Most favorable structure: *A*. The second most favorable one is 4.9 kJ/mol of atoms above it.



*A*
Computed, not measured: Be2TcRu after structural relaxation at the GGA-PBE level of DFT.

Calculated values
Crystal system: orthorhombic

```
data_Be2TcRu
_chemical_formula_sum 'Be4 Tc2 Ru2'
_cell_length_a 2.995
_cell_length_b 4.260
_cell_length_c 7.331
_cell_angle_alpha 90.00
_cell_angle_beta 90.00
_cell_angle_gamma 90.00
_space_group_name_H-M_alt 'C m m m'
_space_group_IT_number 65
_space_group_name_Hall '-C 2 2'
loop_
_atom_site_label
_atom_site_fract_x
_atom_site_fract_y
_atom_site_fract_z
Be1 0.000 0.000 0.243
Tc1 0.000 0.500 0.500
Ru1 0.000 0.500 0.000
```



*B*
Computed, not measured: Be2TcRu after structural relaxation at the GGA-PBE level of DFT.

Calculated values
Crystal system: tetragonal

```
data_Be2TcRu
_chemical_formula_sum 'Be2 Tc1 Ru1'
_cell_length_a 2.798
_cell_length_b 2.798
_cell_length_c 5.648
_cell_angle_alpha 90.00
_cell_angle_beta 90.00
_cell_angle_gamma 90.00
_space_group_name_H-M_alt 'P 4/m m m'
_space_group_IT_number 123
_space_group_name_Hall '-P 4 2'
loop_
_atom_site_label
_atom_site_fract_x
_atom_site_fract_y
_atom_site_fract_z
Be1 0.000 0.000 0.233
Tc1 0.500 0.500 0.500
Ru1 0.500 0.500 0.000
```



Most favorable structure: *B*. The second most favorable one is 15.6 kJ/mol of atoms above it.



*A*
Computed, not measured: BeTcRu after structural relaxation at the GGA-PBE level of DFT.

Calculated values
Crystal system: trigonal

```
data_BeTcRu
_chemical_formula_sum 'Be1 Tc1 Ru1'
_cell_length_a 4.0065
_cell_length_b 4.0065
_cell_length_c 2.7047
_cell_angle_alpha 90.00
_cell_angle_beta 90.00
_cell_angle_gamma 120.00
_space_group_name_H-M_alt 'P 3 m 1'
_space_group_IT_number 156
loop_
_space_group_symop_operation_xyz
'x,y,z'
'-y,x-y,z'
'-x+y,-x,z'
'-y,-x,z'
'-x+y,y,z'
'x,x-y,z'
loop_
_atom_site_label
_atom_site_fract_x
_atom_site_fract_y
_atom_site_fract_z
Be1 0.0000 0.0000 0.0000
Tc1 0.3333 0.6667 0.5830
Ru1 0.6667 0.3333 0.1244
```



*B*
Computed, not measured: BeTcRu after structural relaxation at the GGA-PBE level of DFT.

Calculated values
Crystal system: tetragonal

```
data_BeTcRu
_chemical_formula_sum 'Be2 Tc2 Ru2'
_cell_length_a 2.830
_cell_length_b 2.830
_cell_length_c 9.080
_cell_angle_alpha 90.00
_cell_angle_beta 90.00
_cell_angle_gamma 90.00
_space_group_name_H-M_alt 'I 4 m m'
_space_group_IT_number 107
_space_group_name_Hall 'I 4 -2'
loop_
_atom_site_label
_atom_site_fract_x
_atom_site_fract_y
_atom_site_fract_z
Be1 0.000 0.000 0.000
Tc1 0.000 0.000 0.665
Ru1 0.000 0.000 0.351
```



*C*
Computed, not measured: BeTcRu after structural relaxation at the GGA-PBE level of DFT.

Calculated values
Crystal system: cubic

```
data_BeTcRu
_chemical_formula_sum 'Be4 Tc4 Ru4'
_cell_length_a 5.637
_cell_length_b 5.637
_cell_length_c 5.637
_cell_angle_alpha 90.00
_cell_angle_beta 90.00
_cell_angle_gamma 90.00
_space_group_name_H-M_alt 'F -4 3 m'
_space_group_IT_number 216
_space_group_name_Hall 'F -4 2 3'
loop_
_atom_site_label
_atom_site_fract_x
_atom_site_fract_y
_atom_site_fract_z
Be1 0.000 0.000 0.000
Tc1 0.000 0.000 0.500
Ru1 0.250 0.250 0.750
```



Most favorable structure: *B*. The second most favorable one is 18.6 kJ/mol of atoms above it.



*A*
Computed, not measured: BeTcRu after structural relaxation at the GGA-PBE level of DFT.

Calculated values
Crystal system: orthorhombic

```
data_BeTcRu
_chemical_formula_sum 'Be4 Tc4 Ru4'
_cell_length_a 4.995
_cell_length_b 4.026
_cell_length_c 7.401
_cell_angle_alpha 90.00
_cell_angle_beta 90.00
_cell_angle_gamma 90.00
_space_group_name_H-M_alt 'P n m a'
_space_group_IT_number 62
loop_
_space_group_symop_operation_xyz
'x,y,z'
'-x,-y,-z'
'-x+1/2,-y,z+1/2'
'x+1/2,y,-z+1/2'
'x+1/2,-y+1/2,-z+1/2'
'-x+1/2,y+1/2,z+1/2'
'-x,y+1/2,-z'
'x,-y+1/2,z'
loop_
_atom_site_label
_atom_site_fract_x
_atom_site_fract_y
_atom_site_fract_z
Be1 0.212 0.250 0.116
Tc1 0.074 0.250 0.792
Ru1 0.200 0.250 0.442
```



*B*
Computed, not measured: BeTcRu after structural relaxation at the GGA-PBE level of DFT.

Calculated values
Crystal system: orthorhombic

```
data_BeTcRu
_chemical_formula_sum 'Be4 Tc4 Ru4'
_cell_length_a 4.540
_cell_length_b 5.622
_cell_length_c 5.617
_cell_angle_alpha 90.00
_cell_angle_beta 90.00
_cell_angle_gamma 90.00
_space_group_name_H-M_alt 'I m a 2'
_space_group_IT_number 46
loop_
_space_group_symop_operation_xyz
'x,y,z'
'-x,-y,z'
'-x+1/2,y,z'
'x+1/2,-y,z'
'x+1/2,y+1/2,z+1/2'
'-x+1/2,-y+1/2,z+1/2'
'-x,y+1/2,z+1/2'
'x,-y+1/2,z+1/2'
loop_
_atom_site_label
_atom_site_fract_x
_atom_site_fract_y
_atom_site_fract_z
Be1 0.000 0.000 0.000
Tc1 0.250 0.156 0.654
Ru1 0.250 0.658 0.838
```



Most favorable structure: *B*. The second most favorable one is 16.4 kJ/mol of atoms above it.



*A*
Computed, not measured: BeTc3Ru after structural relaxation at the GGA-PBE level of DFT.

Calculated values
Crystal system: cubic

```
data_BeTc3Ru
_chemical_formula_sum 'Be1 Tc3 Ru1'
_cell_length_a 4.620
_cell_length_b 4.620
_cell_length_c 4.620
_cell_angle_alpha 90.00
_cell_angle_beta 90.00
_cell_angle_gamma 90.00
_space_group_name_H-M_alt 'P m -3 m'
_space_group_IT_number 221
_space_group_name_Hall '-P 4 2 3'
loop_
_atom_site_label
_atom_site_fract_x
_atom_site_fract_y
_atom_site_fract_z
Be1 0.000 0.000 0.000
Tc1 0.000 0.500 0.500
Ru1 0.500 0.500 0.500
```



*B*
Computed, not measured: BeTc3Ru after structural relaxation at the GGA-PBE level of DFT.

Calculated values
Crystal system: cubic

```
data_BeTc3Ru
_chemical_formula_sum 'Be1 Tc3 Ru1'
_cell_length_a 4.093
_cell_length_b 4.093
_cell_length_c 4.093
_cell_angle_alpha 90.00
_cell_angle_beta 90.00
_cell_angle_gamma 90.00
_space_group_name_H-M_alt 'P m -3 m'
_space_group_IT_number 221
_space_group_name_Hall '-P 4 2 3'
loop_
_atom_site_label
_atom_site_fract_x
_atom_site_fract_y
_atom_site_fract_z
Be1 0.000 0.000 0.000
Tc1 0.000 0.000 0.500
Ru1 0.500 0.500 0.500
```



Most favorable structure: *B*. The second most favorable one is 136.1 kJ/mol of atoms above it.



*A*
Computed, not measured: BeTe3Ru after structural relaxation at the GGA-PBE level of DFT.

Calculated values
Crystal system: cubic

```
data_BeTe3Ru
_chemical_formula_sum 'Be1 Te3 Ru1'
_cell_length_a 4.804
_cell_length_b 4.804
_cell_length_c 4.804
_cell_angle_alpha 90.00
_cell_angle_beta 90.00
_cell_angle_gamma 90.00
_space_group_name_H-M_alt 'P m -3 m'
_space_group_IT_number 221
_space_group_name_Hall '-P 4 2 3'
loop_
_atom_site_label
_atom_site_fract_x
_atom_site_fract_y
_atom_site_fract_z
Be1 0.000 0.000 0.000
Te1 0.000 0.000 0.500
Ru1 0.500 0.500 0.500
```



*B*
Computed, not measured: BeTe3Ru after structural relaxation at the GGA-PBE level of DFT.

Calculated values
Crystal system: cubic

```
data_BeTe3Ru
_chemical_formula_sum 'Be1 Te3 Ru1'
_cell_length_a 5.202
_cell_length_b 5.202
_cell_length_c 5.202
_cell_angle_alpha 90.00
_cell_angle_beta 90.00
_cell_angle_gamma 90.00
_space_group_name_H-M_alt 'P m -3 m'
_space_group_IT_number 221
_space_group_name_Hall '-P 4 2 3'
loop_
_atom_site_label
_atom_site_fract_x
_atom_site_fract_y
_atom_site_fract_z
Be1 0.000 0.000 0.000
Te1 0.000 0.500 0.500
Ru1 0.500 0.500 0.500
```



Most favorable structure: *A*. The second most favorable one is 2.3 kJ/mol of atoms above it.